DFT (PBE) results for a relaxed NaCaICl2 crystal.

Geometry as extended XYZ:
```
5
Lattice="-2.3634 2.3634 7.2014 2.3634 -2.3634 7.2014 2.3634 2.3634 -7.2014" Properties=species:S:1:pos:R:3 pbc="T T T"
Na 0.0000 0.0000 0.0000
Ca 0.0000 0.0000 9.9301
I 0.0000 0.0000 4.6829
Cl 2.3634 0.0000 1.3722
Cl 0.0000 2.3634 1.3722
```

* offset from the most stable computed form: 0.04 eV/f.u.
* raw formation energy: -1.77 eV per atom
* space group: I4mm (107)
* DOS(E_F): 0.0 states/eV per cell